Entry 1:
Cu2RuPt | PBE-GGA | optimized geometry

abc: 8.7524 8.7524 8.7524
angles: 17.76 17.76 17.76
Atoms (fractional coordinates):
Cu 0.2490 0.2490 0.2490
Cu 0.7510 0.7510 0.7510
Ru 0.5000 0.5000 0.5000
Pt 0.0000 0.0000 0.0000

Summary:
- DFT formation energy: 49 meV per atom
- Crystal system: trigonal
- Final energy: -23.31 eV per cell

Entry 2:
Cu2RuPt | PBE-GGA | optimized geometry

abc: 2.6197 4.4343 4.7644
angles: 90.00 91.07 90.00
Atoms (fractional coordinates):
Cu 0.2153 0.0000 0.2410
Cu 0.7847 0.0000 0.7590
Ru 0.5000 0.5000 0.0000
Pt 0.0000 0.5000 0.5000

Summary:
- DFT formation energy: 148 meV per atom
- Crystal system: monoclinic
- Final energy: -22.92 eV per cell

Entry 3:
CuRu2Pt | PBE-GGA | optimized geometry

abc: 8.8986 8.8986 8.8986
angles: 17.63 17.63 17.63
Atoms (fractional coordinates):
Cu 0.0000 0.0000 0.0000
Ru 0.2504 0.2504 0.2504
Ru 0.5054 0.5054 0.5054
Pt 0.7495 0.7495 0.7495

Summary:
- DFT formation energy: 43 meV per atom
- Crystal system: trigonal
- Final energy: -28.52 eV per cell

Entry 4:
CuRu3Pt | PBE-GGA | optimized geometry

abc: 4.4032 4.4032 4.4032
angles: 90.00 90.00 90.00
Atoms (fractional coordinates):
Cu 0.0000 0.0000 0.0000
Ru 0.0000 0.0000 0.5000
Ru 0.0000 0.5000 0.0000
Ru 0.5000 0.0000 0.0000
Pt 0.5000 0.5000 0.5000

Summary:
- DFT formation energy: 1650 meV per atom
- Crystal system: cubic
- Final energy: -29.72 eV per cell

Entry 5:
CuRu2Pt | PBE-GGA | optimized geometry

abc: 4.5918 4.5918 2.7159
angles: 90.00 90.00 90.00
Atoms (fractional coordinates):
Cu 0.0000 0.0000 0.0000
Ru 0.0000 0.5000 0.5000
Ru 0.5000 0.0000 0.5000
Pt 0.5000 0.5000 0.0000

Summary:
- DFT formation energy: 376 meV per atom
- Crystal system: tetragonal
- Final energy: -27.19 eV per cell

Entry 6:
CuRu2Pt | PBE-GGA | optimized geometry

abc: 2.7393 2.7393 7.4689
angles: 90.00 90.00 90.00
Atoms (fractional coordinates):
Cu 0.0000 0.0000 0.0000
Ru 0.0000 0.0000 0.5174
Ru 0.5000 0.5000 0.7498
Pt 0.5000 0.5000 0.2483

Summary:
- DFT formation energy: 32 meV per atom
- Crystal system: tetragonal
- Final energy: -28.56 eV per cell